Record 1
{
  "formula": "HfZrCu2",
  "functional": "GGA-PBE",
  "state": "optimized geometry",
  "e_above_lowest_polymorph_mev_per_atom": 411,
  "energy_ev_per_cell": -50.95,
  "m_tot_mub_per_cell": 0.00,
  "space_group": "No. 122",
  "cell": [[7.3053, 0.0000, 0.0000], [0.0000, 7.3053, 0.0000], [3.6527, 3.6527, 2.7312]],
  "species": ["Cu", "Cu", "Cu", "Cu", "Zr", "Zr", "Hf", "Hf"],
  "fractional_positions": [[0.6312, 0.1250, 0.2500], [0.1188, 0.6250, 0.2500], [0.8750, 0.8812, 0.7500], [0.3750, 0.3688, 0.7500], [0.5000, 0.5000, 0.0000], [0.2500, 0.7500, 0.5000], [0.0000, 0.0000, 0.0000], [0.7500, 0.2500, 0.5000]]
}

Record 2
{
  "formula": "AlCI2",
  "functional": "GGA-PBE",
  "state": "optimized geometry",
  "e_above_lowest_polymorph_mev_per_atom": 0,
  "energy_ev_per_cell": -20.76,
  "m_tot_mub_per_cell": 1.95,
  "e_form_raw_mev_per_atom": 1422,
  "space_group": "No. 122",
  "cell": [[-3.6453, 4.9344, 2.8201], [-4.8845, -4.4329, 1.4425], [-1.6352, -0.8908, 7.5279]],
  "species": ["I", "I", "I", "I", "C", "C", "Al", "Al"],
  "fractional_positions": [[0.2672, 0.6250, 0.2500], [0.3750, 0.5172, 0.7500], [0.8750, 0.7328, 0.7500], [0.4828, 0.1250, 0.2500], [0.2500, 0.7500, 0.5000], [0.5000, 0.5000, 0.0000], [0.7500, 0.2500, 0.5000], [0.0000, 0.0000, 0.0000]]
}

Record 3
{
  "formula": "Tb2PuFe2",
  "functional": "GGA-PBE",
  "state": "optimized geometry",
  "energy_ev_per_cell": -81.78,
  "m_tot_mub_per_cell": 5.81,
  "space_group": "No. 15",
  "cell": [[-1.4902, 2.2294, -4.9425], [-5.3587, 1.5622, -0.6804], [0.6894, 7.3090, 1.7698]],
  "species": ["Tb", "Tb", "Tb", "Tb", "Pu", "Pu", "Fe", "Fe", "Fe", "Fe"],
  "fractional_positions": [[0.2325, 0.4629, 0.6511], [0.5371, 0.7675, 0.8489], [0.4629, 0.2325, 0.1511], [0.7675, 0.5371, 0.3489], [0.1074, 0.8926, 0.2500], [0.8926, 0.1074, 0.7500], [0.9978, 0.7541, 0.0086], [0.0022, 0.2459, 0.9914], [0.7541, 0.9978, 0.5086], [0.2459, 0.0022, 0.4914]]
}